DFT (PBE-GGA) results for an optimized crystal structure of Co2ReNi6.

Geometry as POSCAR:
```
Co2ReNi6
1.0
-2.311 1.275 -2.371
3.959 -0.183 -3.958
-1.460 -5.325 1.214
Co Re Ni
2 1 6
direct
0.947 0.167 0.893
0.053 0.833 0.107
0.500 0.500 0.000
0.389 0.832 0.777
0.611 0.168 0.223
0.723 0.837 0.446
0.166 0.503 0.333
0.277 0.163 0.554
0.834 0.497 0.667
```

Summary:
The space group is C2/m, No. 12. Its formation energy from the elements is 23 meV/atom.

=====

DFT (PBE-GGA) results for an optimized crystal structure of Co2ReNi4.

Geometry as POSCAR:
```
Co2ReNi4
1.0
9.009 0.000 0.000
0.000 4.022 -2.030
0.000 -0.462 4.753
Re Co Ni
2 4 8
direct
0.000 0.000 0.000
0.500 0.500 0.000
0.039 0.695 0.319
0.961 0.305 0.681
0.539 0.805 0.681
0.461 0.195 0.319
0.784 0.705 0.090
0.808 0.707 0.582
0.692 0.207 0.582
0.716 0.205 0.090
0.284 0.795 0.910
0.308 0.793 0.418
0.192 0.293 0.418
0.216 0.295 0.910
```

Summary:
The space group is P2_1/c, No. 14. Its formation energy from the elements is 250 meV/atom.

=====

DFT (PBE-GGA) results for an optimized crystal structure of Co4ReNi.

Geometry as POSCAR:
```
Co4ReNi
1.0
0.000 3.232 3.232
3.232 0.000 3.232
3.232 3.232 0.000
Co Re Ni
4 1 1
direct
0.873 0.376 0.376
0.376 0.376 0.873
0.376 0.873 0.376
0.376 0.376 0.376
0.000 0.000 0.000
0.750 0.750 0.750
```

Summary:
The space group is F-43m, No. 216. Its formation energy from the elements is 171 meV/atom.

=====

DFT (PBE-GGA) results for an optimized crystal structure of CoRe2NiRu.

Geometry as POSCAR:
```
CoRe2NiRu
1.0
-1.909 1.378 -3.665
-3.698 -0.185 1.857
0.454 4.128 1.316
Re Co Ni Ru
2 1 1 1
direct
0.000 0.000 0.500
0.500 0.000 0.000
0.000 0.500 0.000
0.000 0.000 0.000
0.500 0.500 0.500
```

Summary:
The space group is P4/mmm, No. 123. Its formation energy from the elements is 1649 meV/atom.

=====

DFT (PBE-GGA) results for an optimized crystal structure of Sc2CoReNi.

Geometry as POSCAR:
```
Sc2CoReNi
1.0
5.000 0.000 0.000
0.000 4.432 0.000
0.000 0.000 5.000
Sc Re Co Ni
2 1 1 1
direct
0.000 0.000 0.500
0.500 0.000 0.000
0.000 0.000 0.000
0.500 0.500 0.500
0.000 0.500 0.000
```

Summary:
The space group is P4/mmm, No. 123. Its formation energy from the elements is 931 meV/atom.

=====

DFT (PBE-GGA) results for an optimized crystal structure of CoRe2NiSe6.

Geometry as POSCAR:
```
CoRe2NiSe6
1.0
-0.955 -1.105 -5.972
-2.076 -7.919 0.698
-8.126 1.214 -0.025
Co Re Ni Se
2 4 2 12
direct
0.250 0.906 0.094
0.750 0.094 0.906
0.203 0.775 0.613
0.297 0.387 0.225
0.797 0.225 0.387
0.703 0.613 0.775
0.250 0.247 0.753
0.750 0.753 0.247
0.121 0.970 0.818
0.379 0.182 0.030
0.879 0.030 0.182
0.621 0.818 0.970
0.381 0.870 0.356
0.119 0.644 0.130
0.619 0.130 0.644
0.881 0.356 0.870
0.867 0.733 0.523
0.633 0.477 0.267
0.133 0.267 0.477
0.367 0.523 0.733
```

Summary:
The space group is C2/c, No. 15. Its formation energy (no corrections) is 39 meV/atom.

=====

DFT (PBE-GGA) results for an optimized crystal structure of Sr2CoReNi.

Geometry as POSCAR:
```
Sr2CoReNi
1.0
-3.113 3.100 -3.823
-1.828 -3.736 -1.542
-4.298 0.493 3.899
Re Co Ni Sr
1 1 1 2
direct
0.000 0.000 0.000
0.500 0.500 0.500
0.000 0.500 0.000
0.000 0.000 0.500
0.500 0.000 0.000
```

Summary:
The space group is P4/mmm, No. 123. Its formation energy from the elements is 1295 meV/atom.

=====

DFT (PBE-GGA) results for an optimized crystal structure of CoReNiTe2.

Geometry as POSCAR:
```
CoReNiTe2
1.0
-2.974 -3.544 -1.611
1.732 -2.835 3.041
-3.407 1.388 3.235
Re Te Co Ni
1 2 1 1
direct
0.000 0.500 0.000
0.000 0.000 0.500
0.500 0.000 0.000
0.500 0.500 0.500
0.000 0.000 0.000
```

Summary:
The space group is P4/mmm, No. 123. Its formation energy (no corrections) is 1470 meV/atom.

=====

DFT (PBE-GGA) results for an optimized crystal structure of Co4Ni3Rh.

Geometry as POSCAR:
```
Co4Ni3Rh
1.0
-2.475 -0.383 -0.467
-0.536 -1.482 4.058
0.018 9.123 -0.623
Co Ni Rh
4 3 1
direct
0.627 0.874 0.254
0.373 0.126 0.746
0.872 0.616 0.744
0.128 0.384 0.256
0.000 0.500 0.000
0.249 0.248 0.498
0.751 0.752 0.502
0.500 0.000 0.000
```

Summary:
The space group is C2/m, No. 12. Its formation energy from the elements is 35 meV/atom. The value obtained for the energy above the lowest structure with this stoichiometry is 26 meV/atom.

=====

DFT (PBE-GGA) results for an optimized crystal structure of Co2NiRh5.

Geometry as POSCAR:
```
Co2NiRh5
1.0
-1.092 -1.987 -4.789
-3.546 -0.498 3.905
0.125 5.253 0.682
Co Ni Rh
2 1 5
direct
0.500 0.222 0.722
0.500 0.722 0.222
0.000 0.222 0.222
0.500 0.722 0.722
0.000 0.222 0.722
0.000 0.722 0.222
0.500 0.222 0.222
0.000 0.722 0.722
```

Summary:
The space group is I4/mmm, No. 139. Its formation energy from the elements is 59 meV/atom.

=====

DFT (PBE-GGA) results for an optimized crystal structure of Co3NiRh4.

Geometry as POSCAR:
```
Co3NiRh4
1.0
3.629 0.000 -0.979
-0.260 3.624 -0.961
0.137 0.109 7.718
Ni Co Rh
1 3 4
direct
0.500 0.000 0.000
0.000 0.500 0.000
0.749 0.249 0.498
0.251 0.751 0.502
0.375 0.375 0.750
0.625 0.625 0.250
0.125 0.125 0.250
0.875 0.875 0.750
```

Summary:
The space group is I4/mmm, No. 139. Its formation energy from the elements is 64 meV/atom.

=====

DFT (PBE-GGA) results for an optimized crystal structure of CoNi6Rh.

Geometry as POSCAR:
```
CoNi6Rh
1.0
-4.382 -0.801 -4.299
2.052 -5.512 1.933
-7.086 -0.098 7.241
Co Ni Rh
4 24 4
direct
0.249 0.751 0.750
0.751 0.249 0.750
0.500 0.500 0.502
0.500 0.500 0.998
0.253 0.747 0.505
0.872 0.619 0.628
0.128 0.381 0.628
0.747 0.253 0.505
0.381 0.128 0.628
0.619 0.872 0.628
0.500 0.500 0.250
0.132 0.379 0.379
0.379 0.132 0.379
0.253 0.747 0.995
0.868 0.621 0.121
0.132 0.379 0.121
0.747 0.253 0.995
0.379 0.132 0.121
0.621 0.868 0.121
0.500 0.500 0.750
0.128 0.381 0.872
0.381 0.128 0.872
0.000 0.000 0.250
0.621 0.868 0.379
0.868 0.621 0.379
0.000 0.000 0.750
0.619 0.872 0.872
0.872 0.619 0.872
0.248 0.752 0.250
0.752 0.248 0.250
0.000 0.000 0.502
0.000 0.000 0.998
```

Summary:
The space group is Cmmm, No. 65. Its formation energy from the elements is 26 meV/atom. The value obtained for the energy above the lowest structure with this stoichiometry is 0 meV/atom.

=====

DFT (PBE-GGA) results for an optimized crystal structure of Co2NiRh2.

Geometry as POSCAR:
```
Co2NiRh2
1.0
-2.863 6.159 -1.707
-5.979 -1.921 3.099
0.869 1.049 2.327
Ni Rh Co
2 4 4
direct
0.000 0.000 0.000
0.500 0.500 0.000
0.175 0.675 0.500
0.675 0.825 0.500
0.825 0.325 0.500
0.325 0.175 0.500
0.378 0.878 0.000
0.878 0.622 0.000
0.622 0.122 0.000
0.122 0.378 0.000
```

Summary:
The space group is P4/mbm, No. 127. Its formation energy from the elements is 257 meV/atom. The value obtained for the energy above the lowest structure with this stoichiometry is 196 meV/atom.

=====

DFT (PBE-GGA) results for an optimized crystal structure of Co2NiRh.

Geometry as POSCAR:
```
Co2NiRh
1.0
-3.596 -0.442 -0.175
0.440 -2.580 -2.532
3.961 -4.569 5.344
Co Ni Rh
4 2 2
direct
0.616 0.250 0.116
0.384 0.750 0.884
0.116 0.750 0.116
0.884 0.250 0.884
0.865 0.750 0.364
0.135 0.250 0.636
0.366 0.250 0.366
0.634 0.750 0.634
```

Summary:
The space group is Pmma, No. 51. Its formation energy from the elements is 35 meV/atom.

=====

DFT (PBE-GGA) results for an optimized crystal structure of Co2Ni8Rh.

Geometry as POSCAR:
```
Co2Ni8Rh
1.0
-3.068 -0.436 -1.719
2.512 -3.528 -3.589
-0.614 -3.510 5.641
Co Ni Rh
2 8 1
direct
0.227 0.632 0.454
0.773 0.368 0.546
0.593 0.457 0.186
0.316 0.089 0.631
0.140 0.189 0.279
0.049 0.722 0.097
0.860 0.811 0.721
0.684 0.911 0.369
0.407 0.543 0.814
0.951 0.278 0.903
0.500 0.000 0.000
```

Summary:
The space group is C2/m, No. 12. Its formation energy from the elements is 6 meV/atom. The value obtained for the energy above the lowest structure with this stoichiometry is 0 meV/atom.

=====

DFT (PBE-GGA) results for an optimized crystal structure of CoNiRh.

Geometry as POSCAR:
```
CoNiRh
1.0
-2.052 0.163 3.515
0.712 -3.595 -1.778
2.215 -0.205 1.303
Co Ni Rh
1 1 1
direct
0.000 0.000 0.167
0.333 0.667 0.166
0.667 0.333 0.666
```

Summary:
The space group is P-6m2, No. 187. Its formation energy from the elements is 82 meV/atom. The value obtained for the energy above the lowest structure with this stoichiometry is 38 meV/atom.

=====

DFT (PBE-GGA) results for an optimized crystal structure of CoNi8Rh6.

Geometry as POSCAR:
```
CoNi8Rh6
1.0
-1.285 3.026 5.972
-6.437 1.181 1.907
-2.732 -3.018 4.832
Co Ni Rh
1 8 6
direct
0.000 0.000 0.000
0.549 0.178 0.413
0.822 0.139 0.587
0.139 0.451 0.587
0.769 0.769 0.692
0.231 0.231 0.308
0.861 0.549 0.413
0.178 0.861 0.413
0.451 0.822 0.587
0.339 0.136 0.900
0.864 0.375 0.100
0.375 0.661 0.100
0.625 0.339 0.900
0.136 0.625 0.900
0.661 0.864 0.100
```

Summary:
The space group is R-3, No. 148. Its formation energy from the elements is 269 meV/atom.

=====

DFT (PBE-GGA) results for an optimized crystal structure of Co2NiRh.

Geometry as POSCAR:
```
Co2NiRh
1.0
-2.453 -3.258 1.732
3.904 0.152 2.089
-0.986 1.659 1.723
Ni Rh Co
1 1 2
direct
0.500 0.000 0.500
0.000 0.500 0.500
0.000 0.000 0.000
0.500 0.500 0.000
```

Summary:
The space group is Cmmm, No. 65. Its formation energy from the elements is 46 meV/atom.

=====

DFT (PBE-GGA) results for an optimized crystal structure of CoNi6Rh.

Geometry as POSCAR:
```
CoNi6Rh
1.0
-2.734 2.294 -0.154
-0.177 0.029 3.568
4.588 5.482 0.183
Co Ni Rh
1 6 1
direct
0.000 0.000 0.500
0.500 0.500 0.000
0.500 0.500 0.500
0.500 0.000 0.259
0.500 0.000 0.741
0.000 0.500 0.259
0.000 0.500 0.741
0.000 0.000 0.000
```

Summary:
The space group is P4/mmm, No. 123. Its formation energy from the elements is 32 meV/atom. The value obtained for the energy above the lowest structure with this stoichiometry is 6 meV/atom.

=====

DFT (PBE-GGA) results for an optimized crystal structure of CoNi3Rh3.

Geometry as POSCAR:
```
CoNi3Rh3
1.0
4.230 0.000 0.000
0.000 6.006 -3.468
0.000 0.000 6.936
Co Ni Rh
2 6 6
direct
0.250 0.333 0.667
0.750 0.667 0.333
0.750 0.816 0.770
0.750 0.955 0.184
0.250 0.770 0.955
0.750 0.230 0.045
0.250 0.045 0.816
0.250 0.184 0.230
0.750 0.535 0.909
0.750 0.374 0.465
0.250 0.909 0.374
0.750 0.091 0.626
0.250 0.626 0.535
0.250 0.465 0.091
```

Summary:
The space group is P6_3/m, No. 176. Its formation energy from the elements is 47 meV/atom. The value obtained for the energy above the lowest structure with this stoichiometry is 0 meV/atom.

=====

Density of states at the Fermi level values, unit states/eV/f.u., following the record order: 11.967; 10.402; 9.222; 6.726; 3.889; 7.065; 5.978; 9.440; 10.268; 14.203; 13.752; 12.128; 6.335; 5.801; 14.237; 3.312; 26.793; 5.135; 14.355; 11.556.